1.
A plane-wave DFT calculation with PBE was carried out for a relaxed structure of YIr2Br.

ΔE to the lowest computed polymorph (meV/atom): 894
Space group: Fm-3m

Lattice parameters (Å, degrees): 4.781 4.781 4.781 60.00 60.00 60.00
Atoms (fractional coordinates):
Ir 0.250 0.250 0.250
Ir 0.750 0.750 0.750
Br 0.000 0.000 0.000
Y 0.500 0.500 0.500

---

2.
A plane-wave DFT calculation with PBE was carried out for a relaxed structure of YIrBr2.

ΔE to the lowest computed polymorph (meV/atom): 769
Space group: Fm-3m

Lattice parameters (Å, degrees): 4.920 4.920 4.920 60.00 60.00 60.00
Atoms (fractional coordinates):
Br 0.750 0.750 0.750
Br 0.250 0.250 0.250
Y 0.500 0.500 0.500
Ir 0.000 0.000 0.000

---

3.
A plane-wave DFT calculation with PBE was carried out for a relaxed structure of YIr2Br.

ΔE to the lowest computed polymorph (meV/atom): 103
Space group: P4mm

Lattice parameters (Å, degrees): 3.506 3.506 7.928 90.00 90.00 90.00
Atoms (fractional coordinates):
Br 0.500 0.500 0.686
Ir 0.000 0.000 0.134
Ir 0.500 0.500 0.217
Y 0.000 0.000 0.464

---

4.
A plane-wave DFT calculation with PBE was carried out for a relaxed structure of YIr4Br.

Space group: F-43m

Lattice parameters (Å, degrees): 5.363 5.363 5.363 60.00 60.00 60.00
Atoms (fractional coordinates):
Ir 0.375 0.874 0.375
Ir 0.375 0.375 0.874
Ir 0.375 0.375 0.375
Ir 0.874 0.375 0.375
Br 0.000 0.000 0.000
Y 0.750 0.750 0.750

---

5.
A plane-wave DFT calculation with PBE was carried out for a relaxed structure of YIr2Br.

ΔE to the lowest computed polymorph (meV/atom): 728
Space group: Cmmm

Lattice parameters (Å, degrees): 4.882 4.882 3.331 90.00 90.00 107.23
Atoms (fractional coordinates):
Ir 0.500 0.500 0.000
Ir 0.000 0.000 0.000
Br 0.000 0.500 0.500
Y 0.500 0.000 0.500

---

6.
A plane-wave DFT calculation with PBE was carried out for a relaxed structure of YIr2Br.

ΔE to the lowest computed polymorph (meV/atom): 403
Space group: Imm2

Lattice parameters (Å, degrees): 5.863 5.863 5.863 141.49 133.01 62.31
Atoms (fractional coordinates):
Ir 0.835 0.335 0.500
Ir 0.988 0.988 0.000
Y 0.497 0.497 0.000
Br 0.180 0.680 0.500

---

7.
A plane-wave DFT calculation with PBE was carried out for a relaxed structure of YIrBr2.

ΔE to the lowest computed polymorph (meV/atom): 376
Space group: R3m

Lattice parameters (Å, degrees): 9.228 9.228 9.228 24.16 24.16 24.16
Atoms (fractional coordinates):
Y 0.761 0.761 0.761
Br 0.022 0.022 0.022
Br 0.219 0.219 0.219
Ir 0.498 0.498 0.498

---

8.
A plane-wave DFT calculation with PBE was carried out for a relaxed structure of YIrBr2.

ΔE to the lowest computed polymorph (meV/atom): 0
Space group: C2/m

Lattice parameters (Å, degrees): 7.745 7.745 4.264 89.14 89.14 28.33
Atoms (fractional coordinates):
Ir 0.250 0.250 0.250
Br 0.106 0.106 0.975
Br 0.394 0.394 0.525
Y 0.750 0.750 0.750

---

| no. | formation energy without anion corrections (eV per formula unit) |
| --- | --- |
| 1 | 1.85 |
| 2 | -0.27 |
| 3 | -1.32 |
| 4 | 0.88 |
| 5 | 1.19 |
| 6 | -0.12 |
| 7 | -1.84 |
| 8 | -3.35 |